{"formula": "MnIr", "functional": "GGA-PBEsol", "state": "optimized geometry", "e_form_ev_per_atom": 1.0501, "m_tot_mub_per_cell": 0.006, "lattice": [[3.863, 0.000, 0.000], [-1.932, 3.346, 0.000], [0.000, 0.000, 5.320]], "species": ["Mn", "Mn", "Ir", "Ir"], "fractional_positions": [[0.333, 0.667, 0.000], [0.667, 0.333, 0.500], [0.333, 0.667, 0.417], [0.667, 0.333, 0.917]]}

{"formula": "Mn3Ir", "functional": "GGA-PBEsol", "state": "optimized geometry", "e_form_ev_per_atom": -0.0447, "m_tot_mub_per_cell": 0.137, "lattice": [[4.423, 0.000, 0.000], [0.000, 8.079, 0.000], [0.000, 0.000, 5.080]], "species": ["Mn", "Mn", "Mn", "Mn", "Mn", "Mn", "Mn", "Mn", "Mn", "Mn", "Mn", "Mn", "Ir", "Ir", "Ir", "Ir"], "fractional_positions": [[0.083, 0.250, 0.125], [0.243, 0.504, 0.869], [0.243, 0.996, 0.869], [0.257, 0.004, 0.369], [0.257, 0.496, 0.369], [0.417, 0.750, 0.625], [0.583, 0.250, 0.375], [0.743, 0.504, 0.631], [0.743, 0.996, 0.631], [0.757, 0.004, 0.131], [0.757, 0.496, 0.131], [0.917, 0.750, 0.875], [0.078, 0.250, 0.616], [0.422, 0.750, 0.116], [0.578, 0.250, 0.884], [0.922, 0.750, 0.384]]}

Copy entry 2 word for word.
{"formula": "Mn3Ir", "functional": "GGA-PBEsol", "state": "optimized geometry", "e_form_ev_per_atom": -0.0447, "m_tot_mub_per_cell": 0.137, "lattice": [[4.423, 0.000, 0.000], [0.000, 8.079, 0.000], [0.000, 0.000, 5.080]], "species": ["Mn", "Mn", "Mn", "Mn", "Mn", "Mn", "Mn", "Mn", "Mn", "Mn", "Mn", "Mn", "Ir", "Ir", "Ir", "Ir"], "fractional_positions": [[0.083, 0.250, 0.125], [0.243, 0.504, 0.869], [0.243, 0.996, 0.869], [0.257, 0.004, 0.369], [0.257, 0.496, 0.369], [0.417, 0.750, 0.625], [0.583, 0.250, 0.375], [0.743, 0.504, 0.631], [0.743, 0.996, 0.631], [0.757, 0.004, 0.131], [0.757, 0.496, 0.131], [0.917, 0.750, 0.875], [0.078, 0.250, 0.616], [0.422, 0.750, 0.116], [0.578, 0.250, 0.884], [0.922, 0.750, 0.384]]}